1.
# LiWBr

Crystalline LiWBr at its relaxed geometry (PBE, Alexandria).

Unit cell a=4.4795 b=4.4795 c=2.9243 alpha=90.00 beta=90.00 gamma=120.00
Atoms (fractional coordinates):
Li  0.0000  0.0000  0.0000
W  0.6667  0.3333  0.5000
Br  0.3333  0.6667  0.5000

**Space group**: No. 187
**Crystal system**: hexagonal
**Relative energy among the computed polymorphs**: 0.3526 eV per atom
**E_form (uncorrected)**: 848 meV per atom
**DFT total energy**: -14.00 eV/f.u.
**V**: 51 Å³ per cell

=====

2.
# CsPmTe3Au

Crystalline CsPmTe3Au at its relaxed geometry (PBE, Alexandria).

Unit cell a=9.3394 b=9.3394 c=11.4561 alpha=90.00 beta=90.00 gamma=152.83
Atoms (fractional coordinates):
Cs  0.2480  0.7520  0.7500
Cs  0.7520  0.2480  0.2500
Pm  0.0000  0.0000  0.0000
Pm  0.0000  0.0000  0.5000
Te  0.0725  0.9275  0.2500
Te  0.3803  0.6197  0.0594
Te  0.3803  0.6197  0.4406
Te  0.6197  0.3803  0.5594
Te  0.6197  0.3803  0.9406
Te  0.9275  0.0725  0.7500
Au  0.4745  0.5255  0.2500
Au  0.5255  0.4745  0.7500

**Space group**: No. 63
**Crystal system**: orthorhombic
**E_form (uncorrected)**: -949 meV per atom
**DFT total energy**: -24.00 eV/f.u.
**V**: 456 Å³ per cell

=====

3.
# Tb12Sm2Ho

Crystalline Tb12Sm2Ho at its relaxed geometry (PBE, Alexandria).

Unit cell a=6.4295 b=6.4295 c=24.9964 alpha=90.00 beta=90.00 gamma=90.00
Atoms (fractional coordinates):
Tb  0.0645  0.5645  0.1150
Tb  0.0645  0.9355  0.8850
Tb  0.0818  0.5818  0.5610
Tb  0.0818  0.9182  0.4390
Tb  0.2500  0.2500  0.2150
Tb  0.2500  0.2500  0.3390
Tb  0.2500  0.2500  0.6610
Tb  0.2500  0.2500  0.7850
Tb  0.4182  0.5818  0.4390
Tb  0.4182  0.9182  0.5610
Tb  0.4355  0.5645  0.8850
Tb  0.4355  0.9355  0.1150
Tb  0.5645  0.0645  0.8850
Tb  0.5645  0.4355  0.1150
Tb  0.5818  0.0818  0.4390
Tb  0.5818  0.4182  0.5610
Tb  0.7500  0.7500  0.2150
Tb  0.7500  0.7500  0.3390
Tb  0.7500  0.7500  0.6610
Tb  0.7500  0.7500  0.7850
Tb  0.9182  0.0818  0.5610
Tb  0.9182  0.4182  0.4390
Tb  0.9355  0.0645  0.1150
Tb  0.9355  0.4355  0.8850
Sm  0.2500  0.7500  0.2707
Sm  0.2500  0.7500  0.7293
Sm  0.7500  0.2500  0.2707
Sm  0.7500  0.2500  0.7293
Ho  0.2500  0.7500  0.0000
Ho  0.7500  0.2500  0.0000

**Space group**: No. 125
**ΔH_f (0 K)**: 0.33 eV per atom
**Crystal system**: tetragonal
**DFT total energy**: -64.65 eV/f.u.
**V**: 1033 Å³ per cell

=====

4.
# CdNiMo2

Crystalline CdNiMo2 at its relaxed geometry (PBE, Alexandria).

Unit cell a=4.8192 b=4.8192 c=5.1087 alpha=98.14 beta=98.14 gamma=32.33
Atoms (fractional coordinates):
Cd  0.0000  0.0000  0.0000
Ni  0.2500  0.2500  0.7733
Mo  0.5255  0.5255  0.5157
Mo  0.7609  0.7609  0.2896

**Space group**: No. 8
**ΔH_f (0 K)**: 0.35 eV per atom
**Crystal system**: monoclinic
**DFT total energy**: -26.95 eV/f.u.
**V**: 63 Å³ per cell

=====

no.,total magnetic moment (μB/atom)
1,0.000
2,0.000
3,0.000
4,0.000